[1]
A crystal of LiPtAu2 relaxed with PBEsol. Source: Alexandria via LeMat-Bulk, functional meta-GGA SCAN.

The structure in extended XYZ format:
```
4
Lattice="2.957 0.000 0.000 0.000 4.650 -0.051 0.000 -1.164 4.502" Properties=species:S:1:pos:R:3 pbc="T T T"
Au 0.000 2.325 -0.026
Au 0.000 -0.582 2.251
Pt 1.479 1.743 2.225
Li 1.479 0.000 0.000
```


[2]
A crystal of Li2TiPtAu relaxed with PBEsol. Source: Alexandria via LeMat-Bulk, functional meta-GGA SCAN.

The structure in extended XYZ format:
```
5
Lattice="4.524 0.000 0.000 0.000 4.653 0.000 0.000 0.000 4.653" Properties=species:S:1:pos:R:3 pbc="T T T"
Li 0.000 0.000 2.326
Li 0.000 2.326 0.000
Au 2.262 2.326 2.326
Ti 0.000 0.000 0.000
Pt 2.262 0.000 0.000
```


[3]
A crystal of RbLi3Au relaxed with PBEsol. Source: Alexandria via LeMat-Bulk, functional meta-GGA SCAN.

The structure in extended XYZ format:
```
5
Lattice="5.177 0.000 0.000 0.000 5.177 0.000 0.000 0.000 5.177" Properties=species:S:1:pos:R:3 pbc="T T T"
Li 2.588 0.000 0.000
Li 0.000 2.588 0.000
Li 0.000 0.000 2.588
Au 0.000 0.000 0.000
Rb 2.588 2.588 2.588
```


[4]
A crystal of RbLi2Au2 relaxed with PBEsol. Source: Alexandria via LeMat-Bulk, functional meta-GGA SCAN.

The structure in extended XYZ format:
```
5
Lattice="-3.155 -0.762 3.163 -0.855 -4.057 -1.830 5.897 0.090 2.657" Properties=species:S:1:pos:R:3 pbc="T T T"
Rb 0.000 0.000 0.000
Li 0.369 -1.541 3.243
Li 1.519 -3.188 0.747
Au -1.048 -2.979 1.483
Au 2.936 -1.749 2.507
```


These records have E_tot values of -53.12 -31.30 -19.63 -33.22 eV/atom, in the order they appear.
These records have formation energy values of -396 728 -214 -456 meV/atom, in the order they appear.